A geometry-optimized Sm6HoEr12 structure, computed with PBE.

The structure in POSCAR format:
```
Sm6HoEr12
1.0
6.566 3.791 4.184
-6.566 3.791 4.184
0.000 -7.581 4.184
Sm Ho Er
6 1 12
direct
0.157 0.598 0.598
0.402 0.402 0.843
0.402 0.843 0.402
0.598 0.157 0.598
0.598 0.598 0.157
0.843 0.402 0.402
0.500 0.500 0.500
0.000 0.257 0.743
0.000 0.743 0.257
0.145 0.145 0.418
0.145 0.418 0.145
0.257 0.000 0.743
0.257 0.743 0.000
0.418 0.145 0.145
0.582 0.855 0.855
0.743 0.000 0.257
0.743 0.257 0.000
0.855 0.582 0.855
0.855 0.855 0.582
```

Properties
Polymorph energy (0 for the lowest one) = 94 meV per atom
Formation enthalpy at 0 K = 0.218 eV/atom
Total moment = 0.00 μB/atom

---

A geometry-optimized Cd3InAg4 structure, computed with PBE.

The structure in POSCAR format:
```
Cd3InAg4
1.0
3.287 0.000 0.000
0.000 3.287 0.000
0.000 0.000 14.625
Cd In Ag
3 1 4
direct
0.000 0.000 0.000
0.000 0.000 0.244
0.000 0.000 0.756
0.000 0.000 0.500
0.500 0.500 0.122
0.500 0.500 0.368
0.500 0.500 0.632
0.500 0.500 0.878
```

Properties
Polymorph energy (0 for the lowest one) = 0 meV per atom
Formation enthalpy at 0 K = -0.031 eV/atom
Total moment = 0.00 μB/atom

---

A geometry-optimized NdInIrO6 structure, computed with PBE.

The structure in POSCAR format:
```
NdInIrO6
1.0
5.453 0.000 0.000
-2.726 4.722 0.000
0.000 0.000 9.990
Nd In Ir O
2 2 2 12
direct
0.000 0.000 0.000
0.000 0.000 0.500
0.333 0.667 0.250
0.667 0.333 0.750
0.333 0.667 0.750
0.667 0.333 0.250
0.032 0.376 0.639
0.032 0.656 0.861
0.344 0.376 0.861
0.344 0.968 0.639
0.376 0.032 0.139
0.376 0.344 0.361
0.624 0.656 0.639
0.624 0.968 0.861
0.656 0.032 0.361
0.656 0.624 0.139
0.968 0.344 0.139
0.968 0.624 0.361
```

Properties
Total moment = 0.30 μB/atom
ΔE_f (raw) = -1.62 eV per atom

---

A geometry-optimized In5GaSn2 structure, computed with PBE.

The structure in POSCAR format:
```
In5GaSn2
1.0
8.627 0.000 0.000
0.000 14.075 0.000
0.000 0.000 3.462
In Ga Sn
10 2 4
direct
0.000 0.000 0.000
0.000 0.239 0.000
0.000 0.761 0.000
0.230 0.380 0.500
0.270 0.880 0.500
0.500 0.261 0.000
0.500 0.500 0.000
0.500 0.739 0.000
0.730 0.120 0.500
0.770 0.620 0.500
0.000 0.500 0.000
0.500 0.000 0.000
0.231 0.621 0.500
0.269 0.121 0.500
0.731 0.879 0.500
0.769 0.379 0.500
```

Properties
Formation enthalpy at 0 K = 0.026 eV/atom
Total moment = 0.00 μB/atom

---

A geometry-optimized Dy6ErCd structure, computed with PBE.

The structure in POSCAR format:
```
Dy6ErCd
1.0
4.604 2.658 3.338
-4.604 2.658 3.338
0.000 -5.316 3.338
Dy Er Cd
6 1 1
direct
0.040 0.758 0.550
0.242 0.450 0.960
0.450 0.960 0.242
0.550 0.040 0.758
0.758 0.550 0.040
0.960 0.242 0.450
0.500 0.500 0.500
0.000 0.000 0.000
```

Properties
Formation enthalpy at 0 K = 0.052 eV/atom
Total moment = 0.00 μB/atom

---

A geometry-optimized KTiAlO4 structure, computed with PBE.

The structure in POSCAR format:
```
KTiAlO4
1.0
0.000 4.123 4.123
4.123 0.000 4.123
4.123 4.123 0.000
K Ti Al O
1 1 1 4
direct
0.000 0.000 0.000
0.250 0.250 0.250
0.500 0.500 0.500
0.377 0.377 0.377
0.377 0.377 0.870
0.377 0.870 0.377
0.870 0.377 0.377
```

Properties
Total moment = 0.00 μB/atom
ΔE_f (raw) = -2.79 eV per atom

---

Question: Number 4 is which compound?
Answer: In5GaSn2

---

Question: The highest total moment belongs to which entry?
Answer: NdInIrO6

---

Question: total moment of number 2 (Cd3InAg4)?
Answer: 0.00 μB/atom